Record 1
DFT (PBE-GGA) results for a geometry-optimized RbCuGeSe3 structure.

Computed properties:
* energy relative to the lowest polymorph listed for this composition: 0.0 meV per atom
* final energy: -3.765 eV per atom

Unit cell a=9.156 b=3.947 c=9.609 alpha=90.00 beta=113.02 gamma=90.00
Space group P2_1/m (No. 11)
One atom of each set of equivalent atoms:
Rb: 0.214 0.250 0.260
Cu: 0.065 0.250 0.584
Ge: 0.332 0.750 0.863
Se: 0.137 0.250 0.858
Se: 0.221 0.750 0.566
Se: 0.471 0.750 0.149


Record 2
DFT (PBE-GGA) results for a geometry-optimized RbCuGeTe2Se structure.

Computed properties:
* final energy: -3.481 eV per atom

Unit cell a=3.865 b=16.353 c=11.121 alpha=90.00 beta=90.00 gamma=90.00
Space group Cmcm (No. 63)
One atom of each set of equivalent atoms:
Rb: 0.000 0.227 0.250
Cu: 0.000 0.044 0.750
Ge: 0.000 0.500 0.000
Te: 0.000 0.125 0.548
Se: 0.000 0.454 0.750


Record 3
DFT (PBE-GGA) results for a geometry-optimized RbCuGeTe3 structure.

Computed properties:
* energy relative to the lowest polymorph listed for this composition: 0.5 meV per atom
* final energy: -3.450 eV per atom

Unit cell a=12.543 b=4.397 c=13.948 alpha=90.00 beta=90.00 gamma=90.00
Space group Pnma (No. 62)
One atom of each set of equivalent atoms:
Rb: 0.227 0.250 0.050
Cu: 0.222 0.250 0.338
Ge: 0.064 0.250 0.745
Te: 0.040 0.250 0.435
Te: 0.076 0.750 0.873
Te: 0.157 0.750 0.261


Record 4
DFT (PBE-GGA) results for a geometry-optimized RbCuGeTe3 structure.

Computed properties:
* energy relative to the lowest polymorph listed for this composition: 83.7 meV per atom
* final energy: -3.367 eV per atom

Unit cell a=17.108 b=4.610 c=9.254 alpha=90.00 beta=92.90 gamma=90.00
Space group C2/m (No. 12)
One atom of each set of equivalent atoms:
Rb: 0.156 0.000 0.079
Cu: 0.013 0.500 0.329
Ge: 0.164 0.000 0.577
Te: 0.000 0.000 0.500
Te: 0.000 0.500 0.000
Te: 0.129 0.500 0.778
Te: 0.168 0.500 0.371


Record 5
DFT (PBE-GGA) results for a geometry-optimized RbCuGeTe3 structure.

Computed properties:
* energy relative to the lowest polymorph listed for this composition: 44.3 meV per atom
* final energy: -3.406 eV per atom

Unit cell a=9.299 b=4.210 c=10.834 alpha=90.00 beta=114.14 gamma=90.00
Space group P2_1/m (No. 11)
One atom of each set of equivalent atoms:
Rb: 0.240 0.250 0.205
Cu: 0.440 0.250 0.923
Ge: 0.179 0.750 0.640
Te: 0.044 0.750 0.364
Te: 0.263 0.750 0.924
Te: 0.398 0.250 0.669


Record 6
DFT (PBE-GGA) results for a geometry-optimized RbCuGeTe3 structure.

Computed properties:
* energy relative to the lowest polymorph listed for this composition: 33.0 meV per atom
* final energy: -3.418 eV per atom

Unit cell a=16.760 b=4.220 c=10.992 alpha=90.00 beta=90.00 gamma=90.00
Space group Pnma (No. 62)
One atom of each set of equivalent atoms:
Rb: 0.230 0.250 0.019
Cu: 0.009 0.750 0.070
Ge: 0.021 0.250 0.348
Te: 0.078 0.750 0.861
Te: 0.091 0.250 0.572
Te: 0.117 0.750 0.247


Record 7
DFT (PBE-GGA) results for a geometry-optimized RbCuGeTe3 structure.

Computed properties:
* energy relative to the lowest polymorph listed for this composition: 100.9 meV per atom
* final energy: -3.350 eV per atom

Unit cell a=10.684 b=4.439 c=16.009 alpha=90.00 beta=90.00 gamma=90.00
Space group Pnma (No. 62)
One atom of each set of equivalent atoms:
Rb: 0.042 0.250 0.193
Cu: 0.176 0.250 0.624
Ge: 0.231 0.750 0.454
Te: 0.063 0.750 0.586
Te: 0.137 0.750 0.010
Te: 0.230 0.250 0.787


Record 8
DFT (PBE-GGA) results for a geometry-optimized RbCuGeTe3 structure.

Computed properties:
* energy relative to the lowest polymorph listed for this composition: 0.0 meV per atom
* final energy: -3.451 eV per atom

Unit cell a=12.583 b=4.393 c=14.076 alpha=90.00 beta=90.00 gamma=90.00
Space group Pnma (No. 62)
One atom of each set of equivalent atoms:
Rb: 0.225 0.250 0.053
Cu: 0.219 0.250 0.341
Ge: 0.066 0.250 0.749
Te: 0.037 0.250 0.435
Te: 0.079 0.750 0.876
Te: 0.154 0.750 0.261


Record 9
DFT (PBE-GGA) results for a geometry-optimized RbCuGeTe3 structure.

Computed properties:
* energy relative to the lowest polymorph listed for this composition: 64.0 meV per atom
* final energy: -3.387 eV per atom

Unit cell a=3.860 b=16.513 c=11.463 alpha=90.00 beta=90.00 gamma=90.00
Space group Cmcm (No. 63)
One atom of each set of equivalent atoms:
Rb: 0.000 0.240 0.250
Cu: 0.000 0.065 0.750
Ge: 0.000 0.500 0.000
Te: 0.000 0.126 0.541
Te: 0.000 0.458 0.750


Record 10
DFT (PBE-GGA) results for a geometry-optimized Cu2ReGe structure.

Computed properties:
* magnetization: 0.02 μB/f.u.
* final energy: -5.777 eV per atom

Unit cell a=5.981 b=5.981 c=5.981 alpha=90.00 beta=90.00 gamma=90.00
Space group F-43m (No. 216)
One atom of each set of equivalent atoms:
Cu: 0.000 0.000 0.000
Cu: 0.250 0.250 0.250
Re: 0.250 0.250 0.750
Ge: 0.000 0.000 0.500


Record 11
DFT (PBE-GGA) results for a geometry-optimized CuRe2Ge structure.

Computed properties:
* magnetization: 0.00 μB/f.u.
* final energy: -7.912 eV per atom

Unit cell a=6.102 b=6.102 c=6.102 alpha=90.00 beta=90.00 gamma=90.00
Space group F-43m (No. 216)
One atom of each set of equivalent atoms:
Cu: 0.000 0.000 0.000
Re: 0.000 0.000 0.500
Re: 0.250 0.250 0.250
Ge: 0.250 0.250 0.750


Record 12
DFT (PBE-GGA) results for a geometry-optimized ScCuReGe structure.

Computed properties:
* magnetization: 0.00 μB/f.u.
* energy relative to the lowest polymorph listed for this composition: 0.0 meV per atom
* final energy: -6.690 eV per atom

Unit cell a=6.263 b=6.263 c=6.263 alpha=90.00 beta=90.00 gamma=90.00
Space group F-43m (No. 216)
One atom of each set of equivalent atoms:
Sc: 0.000 0.000 0.000
Cu: 0.250 0.250 0.750
Re: 0.250 0.250 0.250
Ge: 0.000 0.000 0.500


Record 13
DFT (PBE-GGA) results for a geometry-optimized CuReTcGe structure.

Computed properties:
* magnetization: 0.00 μB/f.u.
* energy relative to the lowest polymorph listed for this composition: 0.0 meV per atom
* final energy: -7.509 eV per atom

Unit cell a=6.096 b=6.096 c=6.096 alpha=90.00 beta=90.00 gamma=90.00
Space group F-43m (No. 216)
One atom of each set of equivalent atoms:
Cu: 0.000 0.000 0.000
Re: 0.000 0.000 0.500
Tc: 0.250 0.250 0.250
Ge: 0.250 0.250 0.750


Record 14
DFT (PBE-GGA) results for a geometry-optimized CuReGeTe structure.

Computed properties:
* magnetization: 0.05 μB/f.u.
* energy relative to the lowest polymorph listed for this composition: 0.0 meV per atom
* final energy: -5.370 eV per atom

Unit cell a=6.457 b=6.457 c=6.457 alpha=90.00 beta=90.00 gamma=90.00
Space group F-43m (No. 216)
One atom of each set of equivalent atoms:
Cu: 0.000 0.000 0.000
Re: 0.000 0.000 0.500
Ge: 0.250 0.250 0.250
Te: 0.250 0.250 0.750


Record 15
DFT (PBE-GGA) results for a geometry-optimized CuReGeTe structure.

Computed properties:
* magnetization: 0.02 μB/f.u.
* energy relative to the lowest polymorph listed for this composition: 323.9 meV per atom
* final energy: -5.046 eV per atom

Unit cell a=6.506 b=6.506 c=6.506 alpha=90.00 beta=90.00 gamma=90.00
Space group F-43m (No. 216)
One atom of each set of equivalent atoms:
Cu: 0.000 0.000 0.000
Re: 0.250 0.250 0.250
Ge: 0.000 0.000 0.500
Te: 0.250 0.250 0.750


Record 16
DFT (PBE-GGA) results for a geometry-optimized YCuReGe structure.

Computed properties:
* magnetization: 0.03 μB/f.u.
* energy relative to the lowest polymorph listed for this composition: 285.2 meV per atom
* final energy: -6.233 eV per atom

Unit cell a=6.592 b=6.592 c=6.592 alpha=90.00 beta=90.00 gamma=90.00
Space group F-43m (No. 216)
One atom of each set of equivalent atoms:
Y: 0.000 0.000 0.000
Cu: 0.000 0.000 0.500
Re: 0.250 0.250 0.750
Ge: 0.250 0.250 0.250


Record 17
DFT (PBE-GGA) results for a geometry-optimized YCuReGe structure.

Computed properties:
* magnetization: 0.00 μB/f.u.
* energy relative to the lowest polymorph listed for this composition: 0.0 meV per atom
* final energy: -6.518 eV per atom

Unit cell a=6.488 b=6.488 c=6.488 alpha=90.00 beta=90.00 gamma=90.00
Space group F-43m (No. 216)
One atom of each set of equivalent atoms:
Y: 0.000 0.000 0.000
Cu: 0.250 0.250 0.750
Re: 0.250 0.250 0.250
Ge: 0.000 0.000 0.500


Record 18
DFT (PBE-GGA) results for a geometry-optimized ZnCuReGe structure.

Computed properties:
* magnetization: 0.00 μB/f.u.
* energy relative to the lowest polymorph listed for this composition: 365.3 meV per atom
* final energy: -4.794 eV per atom

Unit cell a=6.139 b=6.139 c=6.139 alpha=90.00 beta=90.00 gamma=90.00
Space group F-43m (No. 216)
One atom of each set of equivalent atoms:
Zn: 0.000 0.000 0.000
Cu: 0.000 0.000 0.500
Re: 0.250 0.250 0.750
Ge: 0.250 0.250 0.250


Record 19
DFT (PBE-GGA) results for a geometry-optimized ZnCuReGe structure.

Computed properties:
* magnetization: 0.01 μB/f.u.
* energy relative to the lowest polymorph listed for this composition: 0.0 meV per atom
* final energy: -5.160 eV per atom

Unit cell a=6.097 b=6.097 c=6.097 alpha=90.00 beta=90.00 gamma=90.00
Space group F-43m (No. 216)
One atom of each set of equivalent atoms:
Zn: 0.000 0.000 0.000
Cu: 0.250 0.250 0.750
Re: 0.250 0.250 0.250
Ge: 0.000 0.000 0.500


Record 20
DFT (PBE-GGA) results for a geometry-optimized ZrCuReGe structure.

Computed properties:
* magnetization: 0.00 μB/f.u.
* energy relative to the lowest polymorph listed for this composition: 0.0 meV per atom
* final energy: -7.241 eV per atom

Unit cell a=6.344 b=6.344 c=6.344 alpha=90.00 beta=90.00 gamma=90.00
Space group F-43m (No. 216)
One atom of each set of equivalent atoms:
Zr: 0.000 0.000 0.000
Cu: 0.250 0.250 0.750
Re: 0.250 0.250 0.250
Ge: 0.000 0.000 0.500


Record 21
DFT (PBE-GGA) results for a geometry-optimized Cu3GeS4 structure.

Computed properties:
* energy relative to the lowest polymorph listed for this composition: 8.0 meV per atom
* final energy: -4.364 eV per atom

Unit cell a=7.409 b=6.455 c=6.203 alpha=90.00 beta=90.00 gamma=90.00
Space group Pmn2_1 (No. 31)
One atom of each set of equivalent atoms:
Cu: 0.000 0.157 0.000
Cu: 0.248 0.330 0.501
Ge: 0.000 0.830 0.496
S: 0.000 0.162 0.368
S: 0.000 0.828 0.865
S: 0.249 0.336 0.871


Record 22
DFT (PBE-GGA) results for a geometry-optimized ScCuGeS3 structure.

Computed properties:
* magnetization: 0.00 μB/f.u.
* final energy: -5.357 eV per atom

Unit cell a=3.676 b=12.271 c=9.709 alpha=90.00 beta=90.00 gamma=90.00
Space group Cmcm (No. 63)
One atom of each set of equivalent atoms:
Sc: 0.000 0.000 0.000
Cu: 0.000 0.472 0.250
Ge: 0.000 0.238 0.750
S: 0.000 0.090 0.250
S: 0.000 0.359 0.064